Entry from Alexandria via LeMat-Bulk: AcLa3Y7 after structural relaxation (PBE).

crystal system	monoclinic
magnetization	0.000	μB/atom

Cell lengths 6.6076, 7.8049, 7.8049 Å; angles 81.04, 86.50, 86.50 degrees
Fractional coordinates of all 11 atoms:
1 Y 0.7993 0.2349 0.2349
2 Y 0.2605 0.4258 0.0837
3 Y 0.7395 0.5742 0.9163
4 Y 0.2605 0.0837 0.4258
5 Y 0.0000 0.5000 0.5000
6 Y 0.7395 0.9163 0.5742
7 Y 0.2007 0.7651 0.7651
8 La 0.0000 0.1797 0.8203
9 La 0.0000 0.8203 0.1797
10 La 0.5000 0.0000 0.0000
11 Ac 0.5000 0.5000 0.5000



Entry from Alexandria via LeMat-Bulk: Ac3La2Y6 after structural relaxation (PBE).

crystal system	monoclinic
magnetization	0.000	μB/atom

Cell lengths 6.7479, 6.3330, 11.4899 Å; angles 87.72, 85.71, 57.81 degrees
Fractional coordinates of all 11 atoms:
1 Y 0.0480 0.3345 0.7466
2 Y 0.2709 0.0000 0.2937
3 Y 0.3825 0.6655 0.7466
4 Y 0.6175 0.3345 0.2534
5 Y 0.7291 0.0000 0.7063
6 Y 0.9520 0.6655 0.2534
7 La 0.2577 0.4846 0.5000
8 La 0.7423 0.5154 0.5000
9 Ac 0.3370 0.3260 0.0000
10 Ac 0.6630 0.6740 0.0000
11 Ac 0.0000 0.0000 0.0000



Entry from Alexandria via LeMat-Bulk: Ac3La2Y5 after structural relaxation (PBE).

crystal system	triclinic
magnetization	0.000	μB/atom

Cell lengths 9.9027, 9.8538, 9.8710 Å; angles 106.84, 106.71, 115.14 degrees
Fractional coordinates of all 20 atoms:
1 Y 0.2259 0.5729 0.0534
2 Y 0.6729 0.7241 0.1537
3 Y 0.7741 0.4271 0.9466
4 Y 0.0762 0.5277 0.3518
5 Y 0.5232 0.6776 0.4473
6 Y 0.0259 0.1750 0.4523
7 Y 0.9238 0.4723 0.6482
8 Y 0.4768 0.3224 0.5527
9 Y 0.3272 0.2759 0.8463
10 Y 0.9741 0.8250 0.5477
11 Ac 0.6270 0.3840 0.2544
12 Ac 0.2679 0.9210 0.9448
13 Ac 0.3730 0.6160 0.7456
14 Ac 0.7321 0.0790 0.0552
15 Ac 0.1213 0.8727 0.2510
16 Ac 0.8787 0.1273 0.7490
17 La 0.1804 0.2348 0.1556
18 La 0.5747 0.0255 0.3514
19 La 0.8196 0.7652 0.8444
20 La 0.4253 0.9745 0.6486



Entry from Alexandria via LeMat-Bulk: AcLaY4 after structural relaxation (PBE).

crystal system	monoclinic
magnetization	0.000	μB/atom

Cell lengths 5.1641, 8.2155, 11.5943 Å; angles 148.04, 89.99, 108.32 degrees
Fractional coordinates of all 6 atoms:
1 Y 0.3326 0.6652 0.0031
2 Y 0.6674 0.3348 0.9969
3 Y 0.1626 0.3253 0.4942
4 Y 0.8374 0.6747 0.5058
5 Ac 0.0000 0.0000 0.0000
6 La 0.5000 0.0000 0.5000



Entry from Alexandria via LeMat-Bulk: Ac4La8Y after structural relaxation (PBE).

crystal system	trigonal
magnetization	0.000	μB/atom

Cell lengths 11.8481, 11.8481, 8.2883 Å; angles 90.00, 135.62, 120.00 degrees
Fractional coordinates of all 13 atoms:
1 La 0.0147 0.2503 0.7791
2 La 0.5288 0.7644 0.7791
3 La 0.4774 0.2387 0.7161
4 La 0.4712 0.2356 0.2209
5 La 0.9853 0.2356 0.2209
6 La 0.5226 0.7613 0.2839
7 La 0.9853 0.7497 0.2209
8 La 0.0147 0.7644 0.7791
9 Ac 0.5000 0.0000 0.0000
10 Ac 0.0000 0.5000 0.0000
11 Ac 0.0000 0.0000 0.0000
12 Ac 0.5000 0.5000 0.0000
13 Y 0.0000 0.5000 0.5000



Entry from Alexandria via LeMat-Bulk: AcLa2Y5 after structural relaxation (PBE).

crystal system	orthorhombic
magnetization	0.000	μB/atom

Cell lengths 7.3684, 7.2892, 20.5962 Å; angles 90.00, 90.00, 90.00 degrees
Fractional coordinates of all 32 atoms:
1 La 0.2533 0.5000 0.0000
2 La 0.5000 0.7547 0.1267
3 La 0.7467 0.5000 0.0000
4 La 0.7467 0.0000 0.5000
5 La 0.5000 0.7453 0.6267
6 La 0.5000 0.2453 0.8733
7 La 0.2533 0.0000 0.5000
8 La 0.5000 0.2547 0.3733
9 Y 0.2531 0.0056 0.2500
10 Y 0.5000 0.2523 0.1260
11 Y 0.0000 0.2455 0.6261
12 Y 0.2531 0.4944 0.7500
13 Y 0.7472 0.0000 0.0000
14 Y 0.2531 0.5056 0.2500
15 Y 0.7469 0.4944 0.7500
16 Y 0.0000 0.2545 0.1261
17 Y 0.7469 0.5056 0.2500
18 Y 0.2531 0.9944 0.7500
19 Y 0.0000 0.7545 0.3739
20 Y 0.2528 0.0000 0.0000
21 Y 0.5000 0.7523 0.3740
22 Y 0.0000 0.7455 0.8739
23 Y 0.2528 0.5000 0.5000
24 Y 0.7469 0.0056 0.2500
25 Y 0.7472 0.5000 0.5000
26 Y 0.5000 0.2477 0.6260
27 Y 0.7469 0.9944 0.7500
28 Y 0.5000 0.7477 0.8740
29 Ac 0.0000 0.2563 0.3733
30 Ac 0.0000 0.7437 0.6267
31 Ac 0.0000 0.2437 0.8733
32 Ac 0.0000 0.7563 0.1267



Entry from Alexandria via LeMat-Bulk: Ac3LaY after structural relaxation (PBE).

crystal system	monoclinic
magnetization	0.000	μB/atom

Cell lengths 3.8782, 10.8886, 10.1895 Å; angles 75.14, 100.97, 90.00 degrees
Fractional coordinates of all 10 atoms:
1 La 0.6026 0.4464 0.2052
2 La 0.3974 0.5536 0.7948
3 Ac 0.0012 0.2597 0.0024
4 Ac 0.2028 0.6530 0.4056
5 Ac 0.9988 0.7403 0.9976
6 Ac 0.3975 0.0449 0.7951
7 Ac 0.6025 0.9551 0.2049
8 Ac 0.7972 0.3470 0.5944
9 Y 0.7983 0.8539 0.5966
10 Y 0.2017 0.1461 0.4034



Entry from Alexandria via LeMat-Bulk: Ac2La7Y2 after structural relaxation (PBE).

crystal system	monoclinic
magnetization	0.000	μB/atom

Cell lengths 6.9720, 9.5376, 6.9720 Å; angles 74.67, 87.34, 105.33 degrees
Fractional coordinates of all 11 atoms:
1 La 0.6837 0.7469 0.9176
2 La 0.0824 0.7469 0.3163
3 La 0.9176 0.2531 0.6837
4 La 0.8179 0.3726 0.1821
5 La 0.3163 0.2531 0.0824
6 La 0.1821 0.6274 0.8179
7 La 0.0000 0.0000 0.0000
8 Ac 0.3680 0.0935 0.6320
9 Ac 0.6320 0.9065 0.3680
10 Y 0.6587 0.5000 0.6587
11 Y 0.3413 0.5000 0.3413



Entry from Alexandria via LeMat-Bulk: Ac6LaY after structural relaxation (PBE).

crystal system	tetragonal
magnetization	0.000	μB/atom

Cell lengths 5.5244, 5.5244, 11.0735 Å; angles 90.00, 90.00, 90.00 degrees
Fractional coordinates of all 8 atoms:
1 Ac 0.5000 0.5000 0.5000
2 Ac 0.5000 0.0000 0.2524
3 Ac 0.0000 0.5000 0.7476
4 Ac 0.0000 0.5000 0.2524
5 Ac 0.5000 0.0000 0.7476
6 Ac 0.5000 0.5000 0.0000
7 Y 0.0000 0.0000 0.5000
8 La 0.0000 0.0000 0.0000



Entry from Alexandria via LeMat-Bulk: AcLa12Y5 after structural relaxation (PBE).

crystal system	monoclinic
magnetization	0.000	μB/atom

Cell lengths 12.5363, 10.7762, 5.9134 Å; angles 90.02, 90.03, 54.49 degrees
Fractional coordinates of all 18 atoms:
1 La 0.6696 0.3616 0.0028
2 La 0.3304 0.6384 0.9972
3 La 0.2084 0.0001 0.5267
4 La 0.9688 0.3615 0.9972
5 La 0.1699 0.3575 0.4976
6 La 0.6963 0.0001 0.9762
7 La 0.7916 0.9999 0.4733
8 La 0.3037 0.9999 0.0238
9 La 0.4724 0.3574 0.5023
10 La 0.8301 0.6425 0.5024
11 La 0.5276 0.6426 0.4977
12 La 0.0312 0.6385 0.0028
13 Y 0.5000 0.0000 0.5000
14 Y 0.8609 0.2782 0.5000
15 Y 0.3641 0.2717 0.0000
16 Y 0.6359 0.7284 0.0000
17 Y 0.1391 0.7218 0.5000
18 Ac 0.0000 0.0000 0.0000



Entry from Alexandria via LeMat-Bulk: Ac3LaY after structural relaxation (PBE).

crystal system	monoclinic
magnetization	0.000	μB/atom

Cell lengths 12.1221, 5.4964, 8.6572 Å; angles 90.00, 135.02, 90.00 degrees
Fractional coordinates of all 10 atoms:
1 Ac 0.8472 0.4500 0.3939
2 Ac 0.1528 0.9500 0.6061
3 Ac 0.7514 0.9500 0.9969
4 Ac 0.3428 0.9500 0.3939
5 Ac 0.2486 0.4500 0.0031
6 Ac 0.6572 0.4500 0.6061
7 La 0.4457 0.4500 0.7960
8 La 0.5543 0.9500 0.2040
9 Y 0.9502 0.9500 0.8024
10 Y 0.0498 0.4500 0.1976



Entry from Alexandria via LeMat-Bulk: Ac2La5Y5 after structural relaxation (PBE).

crystal system	monoclinic
magnetization	0.000	μB/atom

Cell lengths 5.2550, 11.1073, 8.3282 Å; angles 98.46, 71.61, 76.32 degrees
Fractional coordinates of all 12 atoms:
1 La 0.9949 0.7567 0.2536
2 La 0.6735 0.2421 0.4109
3 La 0.0051 0.2433 0.7464
4 La 0.3265 0.7579 0.5891
5 La 0.0000 0.0000 0.0000
6 Ac 0.3378 0.4988 0.8255
7 Ac 0.6622 0.5012 0.1745
8 Y 0.6652 0.0018 0.6678
9 Y 0.3358 0.2445 0.0839
10 Y 0.6642 0.7555 0.9161
11 Y 0.0000 0.5000 0.5000
12 Y 0.3348 0.9982 0.3322



Entry from Alexandria via LeMat-Bulk: Ac2La4Y5 after structural relaxation (PBE).

crystal system	orthorhombic
magnetization	0.000	μB/atom

Cell lengths 5.8744, 6.8851, 19.8268 Å; angles 90.00, 90.00, 90.00 degrees
Fractional coordinates of all 22 atoms:
1 La 0.5000 0.3942 0.6274
2 La 0.5000 0.8942 0.8726
3 La 0.5000 0.7893 0.5129
4 La 0.5000 0.2893 0.9871
5 La 0.5000 0.7107 0.0129
6 La 0.5000 0.6058 0.3726
7 La 0.5000 0.2107 0.4871
8 La 0.5000 0.1058 0.1274
9 Y 0.0000 0.0000 0.0000
10 Y 0.0000 0.5352 0.9074
11 Y 0.0000 0.5000 0.5000
12 Y 0.0000 0.4167 0.2892
13 Y 0.0000 0.0352 0.5926
14 Y 0.0000 0.4648 0.0926
15 Y 0.0000 0.5833 0.7108
16 Y 0.0000 0.9167 0.2108
17 Y 0.0000 0.0833 0.7892
18 Y 0.0000 0.9648 0.4074
19 Ac 0.5000 0.3956 0.8034
20 Ac 0.5000 0.6044 0.1966
21 Ac 0.5000 0.8956 0.6966
22 Ac 0.5000 0.1044 0.3034



Entry from Alexandria via LeMat-Bulk: Ac4La5Y2 after structural relaxation (PBE).

crystal system	monoclinic
magnetization	0.000	μB/atom

Cell lengths 3.6622, 12.7172, 9.5182 Å; angles 93.66, 101.09, 90.00 degrees
Fractional coordinates of all 11 atoms:
1 La 0.5000 0.0000 0.0000
2 La 0.1900 0.0900 0.3801
3 La 0.8607 0.1781 0.7214
4 La 0.1393 0.8219 0.2786
5 La 0.8100 0.9100 0.6199
6 Ac 0.9593 0.7337 0.9185
7 Ac 0.0407 0.2663 0.0815
8 Ac 0.2814 0.6365 0.5627
9 Ac 0.7186 0.3635 0.4373
10 Y 0.9078 0.4602 0.8155
11 Y 0.0922 0.5398 0.1845



Entry from Alexandria via LeMat-Bulk: Ac2La5Y12 after structural relaxation (PBE).

crystal system	monoclinic
magnetization	0.000	μB/atom

Cell lengths 7.3020, 15.0934, 16.5270 Å; angles 153.91, 90.00, 104.00 degrees
Fractional coordinates of all 19 atoms:
1 Y 0.5389 0.0777 0.8771
2 Y 0.4606 0.4412 0.0490
3 Y 0.0443 0.5952 0.3817
4 Y 0.0368 0.0736 0.8756
5 Y 0.9806 0.4412 0.0490
6 Y 0.5394 0.5588 0.9510
7 Y 0.5509 0.5952 0.3817
8 Y 0.0194 0.5588 0.9510
9 Y 0.4611 0.9223 0.1229
10 Y 0.4491 0.4048 0.6183
11 Y 0.9557 0.4048 0.6183
12 Y 0.9632 0.9264 0.1244
13 Ac 0.2489 0.0000 0.0000
14 Ac 0.7511 0.0000 0.0000
15 La 0.2510 0.5020 0.5008
16 La 0.0000 0.0000 0.5000
17 La 0.7490 0.4980 0.4992
18 La 0.4999 0.9998 0.4036
19 La 0.5001 0.0002 0.5964



Entry from Alexandria via LeMat-Bulk: Ac7La3Y2 after structural relaxation (PBE).

crystal system	monoclinic
magnetization	0.000	μB/atom

Cell lengths 3.7904, 6.9995, 19.2464 Å; angles 75.04, 90.00, 90.00 degrees
Fractional coordinates of all 12 atoms:
1 Y 0.5000 0.3855 0.6685
2 Y 0.5000 0.6145 0.3315
3 Ac 0.0000 0.5557 0.1715
4 Ac 0.5000 0.9471 0.8250
5 Ac 0.0000 0.4443 0.8285
6 Ac 0.5000 0.0529 0.1750
7 Ac 0.0000 0.0000 0.0000
8 Ac 0.5000 0.7584 0.4953
9 Ac 0.5000 0.2416 0.5047
10 La 0.0000 0.1176 0.3415
11 La 0.5000 0.5000 0.0000
12 La 0.0000 0.8824 0.6585



Entry from Alexandria via LeMat-Bulk: Ac2La8Y after structural relaxation (PBE).

crystal system	monoclinic
magnetization	0.000	μB/atom

Cell lengths 6.2331, 9.4652, 9.9024 Å; angles 61.45, 74.04, 54.88 degrees
Fractional coordinates of all 11 atoms:
1 La 0.5000 0.2014 0.5973
2 La 0.1884 0.9017 0.7706
3 La 0.5000 0.7986 0.4027
4 La 0.8116 0.0983 0.2294
5 La 0.1884 0.6723 0.2294
6 La 0.2999 0.4218 0.0000
7 La 0.8116 0.3277 0.7706
8 La 0.7001 0.5782 0.0000
9 Y 0.5000 0.0000 0.0000
10 Ac 0.0000 0.6909 0.6182
11 Ac 0.0000 0.3091 0.3818



Entry from Alexandria via LeMat-Bulk: AcLa5Y5 after structural relaxation (PBE).

crystal system	hexagonal
magnetization	0.001	μB/atom

Cell lengths 6.3043, 6.3043, 12.0058 Å; angles 90.00, 90.00, 120.00 degrees
Fractional coordinates of all 11 atoms:
1 La 0.3333 0.6667 0.3220
2 La 0.0000 0.0000 0.0000
3 La 0.3333 0.6667 0.6780
4 La 0.6667 0.3333 0.1545
5 La 0.6667 0.3333 0.8455
6 Y 0.3308 0.1654 0.5000
7 Y 0.8346 0.1654 0.5000
8 Y 0.0000 0.0000 0.7374
9 Y 0.8346 0.6692 0.5000
10 Y 0.0000 0.0000 0.2626
11 Ac 0.3333 0.6667 0.0000



Entry from Alexandria via LeMat-Bulk: Ac4La4Y3 after structural relaxation (PBE).

crystal system	triclinic
magnetization	0.000	μB/atom

Cell lengths 3.7292, 5.7497, 19.9791 Å; angles 98.27, 84.69, 90.00 degrees
Fractional coordinates of all 11 atoms:
1 Ac 0.7780 0.7217 0.4435
2 Ac 0.2219 0.2783 0.5565
3 Ac 0.9040 0.0931 0.1867
4 Ac 0.0960 0.9069 0.8134
5 Y 0.6377 0.3649 0.7295
6 Y 0.0001 0.0000 0.0000
7 Y 0.3622 0.6351 0.2705
8 La 0.6820 0.8192 0.6381
9 La 0.5467 0.4554 0.9101
10 La 0.3179 0.1808 0.3618
11 La 0.4533 0.5447 0.0899



Short version: formation enthalpy at 0 K = 4.841; 4.572; 0.996; 0.870; 10.680; 0.427; 0.910; 6.218; 0.552; 1.688; 0.928; 0.799; 2.760; 4.021; 2.652; 2.295; 2.751; 6.157; 1.220 kcal/mol of atoms, in the order given.